No. 1
Computed, not measured: Ce7Zn2Ru2 after structural relaxation at the PBE level of DFT.

Properties
- space group = Cmmm (65)
- calculated volume (Å³ per atom) = 25.54
- density of states at the Fermi level (states/eV per atom) = 2.719
- density (Mg/m³) = 7.8
- final energy (eV per atom) = -5.810
- ΔE_f (meV/atom) = -116

abc: 6.6552 6.6743 6.6552
angles: 89.99 108.13 90.01
With the nearest neighbours (Å) after each atom.
Positions (direct):
Ce1 0.9999 0.2790 0.5000  2 Ru 2.74, 1 Ce 2.95
Ce2 0.5000 0.7210 0.9999  2 Ru 2.74, 1 Ce 2.95
Ce3 0.0001 0.7210 0.5000  2 Ru 2.74, 1 Ce 2.95
Ce4 0.5000 0.2790 0.0001  2 Ru 2.74, 1 Ce 2.95
Ce5 0.0000 0.0000 0.0000  2 Ru 3.16
Ce6 0.5000 0.7109 0.5000  1 Ce 2.82, 2 Ru 2.95, 2 Zn 3.04
Ce7 0.5000 0.2891 0.5000  1 Ce 2.82, 2 Ru 2.95, 2 Zn 3.04
Zn1 0.8456 0.5000 0.8456  1 Zn 2.41
Zn2 0.1544 0.5000 0.1544  1 Zn 2.41
Ru1 0.7068 0.9999 0.2932  6 Ce 2.74-2.95
Ru2 0.2932 0.0001 0.7068  6 Ce 2.74-2.95



No. 2
Computed, not measured: Tb2NpCuSe5 after structural relaxation at the PBE level of DFT.

Properties
- space group = Cmc2_1 (36)
- calculated volume (Å³ per atom) = 23.57
- density of states at the Fermi level (states/eV per atom) = 0.992
- density (Mg/m³) = 7.9
- formation energy (no corrections) (meV per atom) = -1319
- final energy (eV per atom) = -6.177

abc: 3.9914 9.1336 11.9242
angles: 90.00 90.00 102.62
With the nearest neighbours (Å) after each atom.
Positions (direct):
Tb1 0.8808 0.7615 0.8073  7 Se 2.90-3.19
Tb2 0.1046 0.2092 0.6848  8 Se 2.98-3.34
Tb3 0.1192 0.2385 0.3073  7 Se 2.90-3.19
Tb4 0.8954 0.7908 0.1848  8 Se 2.98-3.34
Np1 0.8024 0.6048 0.5101  6 Se 2.80-2.92
Np2 0.1976 0.3952 0.0101  6 Se 2.80-2.92
Cu1 0.5646 0.1291 0.9547  4 Se 2.41-2.48
Cu2 0.4354 0.8709 0.4547  4 Se 2.41-2.48
Se1 0.3612 0.7225 0.0023  1 Np 2.92, 4 Tb 3.01-3.08
Se2 0.6803 0.3606 0.8395  1 Cu 2.48
Se3 0.4975 0.9950 0.7797  1 Cu 2.41
Se4 0.2918 0.5836 0.6815  2 Np 2.86, 2 Tb 2.96
Se5 0.9555 0.9110 0.5640  2 Cu 2.41
Se6 0.6388 0.2775 0.5023  1 Np 2.92, 4 Tb 3.01-3.08
Se7 0.3197 0.6394 0.3395  1 Cu 2.48
Se8 0.5025 0.0050 0.2797  1 Cu 2.41
Se9 0.7082 0.4164 0.1815  2 Np 2.86, 2 Tb 2.96
Se10 0.0445 0.0890 0.0640  2 Cu 2.41



No. 3
Computed, not measured: YMn2Re after structural relaxation at the PBE level of DFT.

Properties
- distance to the lowest polymorph of the same formula (meV per atom) = 235
- space group = Cm (8)
- calculated volume (Å³ per atom) = 17.42
- density of states at the Fermi level (states/eV per atom) = 1.089
- density (Mg/m³) = 9.2
- final energy (eV per atom) = -8.924
- ΔE_f (meV/atom) = 389

abc: 4.7753 4.7753 5.1220
angles: 75.86 75.86 38.13
With the nearest neighbours (Å) after each atom.
Positions (direct):
Mn1 0.0219 0.0219 0.9328  2 Re 2.43, 2 Mn 2.62
Mn2 0.7575 0.7575 0.7305  2 Re 2.45, 2 Mn 2.62
Re1 0.4737 0.4737 0.5998  4 Mn 2.43-2.45
Y1 0.2468 0.2468 0.2369  7 Mn 2.86-3.01, 3 Re 3.10, 2 Y 3.12



No. 4
Computed, not measured: LiTlCo2 after structural relaxation at the PBE level of DFT.

Properties
- space group = P4/mmm (123)
- calculated volume (Å³ per atom) = 14.60
- density of states at the Fermi level (states/eV per atom) = 0.881
- density (Mg/m³) = 9.4
- final energy (eV per atom) = -4.174
- ΔE_f (meV/atom) = 449

abc: 3.2350 3.2350 5.5805
angles: 90.00 90.00 90.00
With the nearest neighbours (Å) after each atom.
Positions (direct):
Co1 0.0000 0.0000 0.0458  1 Co 2.28
Co2 0.0000 0.0000 0.4542  1 Co 2.28
Li1 0.5000 0.5000 0.2500  8 Co 2.56, 2 Tl 2.79
Tl1 0.5000 0.5000 0.7500  2 Li 2.79, 8 Co 2.82



No. 5
Computed, not measured: SmEr2Co2 after structural relaxation at the PBE level of DFT.

Properties
- distance to the lowest polymorph of the same formula (meV per atom) = 72
- space group = C2/m (12)
- calculated volume (Å³ per atom) = 22.55
- density of states at the Fermi level (states/eV per atom) = 0.861
- density (Mg/m³) = 8.9
- final energy (eV per atom) = -5.694
- ΔE_f (meV/atom) = -82

abc: 3.7373 5.4824 5.9680
angles: 103.17 108.25 90.00
With the nearest neighbours (Å) after each atom.
Positions (direct):
Sm1 0.0000 0.0000 0.0000  6 Co 3.05-3.37
Er1 0.3502 0.4178 0.7004  4 Co 2.73-2.91
Er2 0.6498 0.5822 0.2996  4 Co 2.73-2.91
Co1 0.7188 0.1047 0.4375  2 Co 2.39
Co2 0.2812 0.8953 0.5625  2 Co 2.39



No. 6
Computed, not measured: CaTl3Pb3 after structural relaxation at the PBE level of DFT.

Properties
- distance to the lowest polymorph of the same formula (meV per atom) = 428
- space group = Pm-3n (223)
- calculated volume (Å³ per atom) = 43.14
- density of states at the Fermi level (states/eV per atom) = 0.749
- density (Mg/m³) = 7.0
- final energy (eV per atom) = -2.519
- ΔE_f (meV/atom) = 370

abc: 8.4529 8.4529 8.4529
angles: 90.00 90.00 90.00
With the nearest neighbours (Å) after each atom.
Positions (direct):
Pb1 0.0000 0.2500 0.5000  4 Tl 2.99
Pb2 0.0000 0.7500 0.5000  4 Tl 2.99
Pb3 0.5000 0.0000 0.7500  4 Tl 2.99
Pb4 0.7500 0.5000 0.0000  4 Tl 2.99
Pb5 0.5000 0.0000 0.2500  4 Tl 2.99
Pb6 0.2500 0.5000 0.0000  4 Tl 2.99
Tl1 0.2500 0.0000 0.5000  4 Pb 2.99
Tl2 0.0000 0.5000 0.2500  4 Pb 2.99
Tl3 0.5000 0.7500 0.0000  4 Pb 2.99
Tl4 0.7500 0.0000 0.5000  4 Pb 2.99
Tl5 0.0000 0.5000 0.7500  4 Pb 2.99
Tl6 0.5000 0.2500 0.0000  4 Pb 2.99
Ca1 0.5000 0.5000 0.5000  12 Tl 4.73, 12 Pb 4.73
Ca2 0.0000 0.0000 0.0000  12 Tl 4.73, 12 Pb 4.73



No. 7
Computed, not measured: CeDyEr2 after structural relaxation at the PBE level of DFT.

Properties
- distance to the lowest polymorph of the same formula (meV per atom) = 4
- space group = R3m (160)
- calculated volume (Å³ per atom) = 30.56
- density of states at the Fermi level (states/eV per atom) = 1.900
- density (Mg/m³) = 8.7
- final energy (eV per atom) = -4.859
- ΔE_f (meV/atom) = 56

abc: 3.5079 3.5079 11.6498
angles: 81.34 81.34 60.00
With the nearest neighbours (Å) after each atom.
Positions (direct):
Ce1 0.5006 0.5006 0.4982  6 Er 3.50-3.54, 6 Ce 3.51
Dy1 0.6662 0.6662 0.0013  6 Er 3.49-3.51, 6 Dy 3.51
Er1 0.0830 0.0830 0.7511  6 Er 3.51, 3 Dy 3.51, 3 Ce 3.54
Er2 0.2502 0.2502 0.2494  3 Dy 3.49, 3 Ce 3.50, 6 Er 3.51



No. 8
Computed, not measured: K2MnFeNi after structural relaxation at the PBE level of DFT.

Properties
- space group = P4/mmm (123)
- calculated volume (Å³ per atom) = 33.76
- density of states at the Fermi level (states/eV per atom) = 0.798
- density (Mg/m³) = 2.4
- final energy (eV per atom) = -3.872
- ΔE_f (meV/atom) = 1250

abc: 6.0592 4.5970 6.0592
angles: 90.00 90.00 90.00
With the nearest neighbours (Å) after each atom.
Positions (direct):
Ni1 0.0000 0.0000 0.0000  2 Mn 2.30
K1 0.0000 0.0000 0.5000  2 Ni 3.03
K2 0.5000 0.0000 0.0000  2 Ni 3.03
Mn1 0.0000 0.5000 0.0000  2 Ni 2.30
Fe1 0.5000 0.5000 0.5000  8 K 3.80



No. 9
Computed, not measured: LiPrBi2Se4 after structural relaxation at the PBE level of DFT.

Properties
- space group = P2/m (10)
- calculated volume (Å³ per atom) = 27.83
- density of states at the Fermi level (states/eV per atom) = 0.389
- density (Mg/m³) = 6.6
- formation energy (no corrections) (meV per atom) = -759
- final energy (eV per atom) = -4.308

abc: 4.7581 7.2320 6.9810
angles: 112.05 90.00 90.00
With the nearest neighbours (Å) after each atom.
Positions (direct):
Li1 0.0000 0.0000 0.0000  6 Se 2.92-3.10
Pr1 0.5000 0.5000 0.0000  6 Se 2.96-3.09
Bi1 0.5000 0.0000 0.5000  6 Se 2.93-3.11
Bi2 0.0000 0.5000 0.5000  6 Se 2.98-3.10
Se1 0.5000 0.2488 0.2510  3 Bi 2.93-3.10, 1 Pr 2.96, 2 Li 3.10
Se2 0.5000 0.7512 0.7490  3 Bi 2.93-3.10, 1 Pr 2.96, 2 Li 3.10
Se3 0.0000 0.2489 0.7538  1 Li 2.92, 3 Bi 2.98-3.11, 2 Pr 3.09
Se4 0.0000 0.7511 0.2462  1 Li 2.92, 3 Bi 2.98-3.11, 2 Pr 3.09



No. 10
Computed, not measured: Ce2PO2 after structural relaxation at the PBE level of DFT.

Properties
- space group = Fddd (70)
- calculated volume (Å³ per atom) = 18.78
- density of states at the Fermi level (states/eV per atom) = 1.718
- density (Mg/m³) = 6.1
- formation energy (no corrections) (meV per atom) = -2635
- final energy (eV per atom) = -8.074

abc: 6.1887 6.1887 6.3322
angles: 111.93 111.93 103.64
With the nearest neighbours (Å) after each atom.
Positions (direct):
Ce1 0.1675 0.3325 0.7500  4 O 2.29-2.42
Ce2 0.4175 0.0825 0.2500  4 O 2.29-2.42
Ce3 0.5825 0.9175 0.7500  4 O 2.29-2.42
Ce4 0.8325 0.6675 0.2500  4 O 2.29-2.42
P1 0.8750 0.6250 0.7500  2 Ce 2.85
P2 0.1250 0.3750 0.2500  2 Ce 2.85
O1 0.2422 0.9922 0.4844  4 Ce 2.29-2.42
O2 0.4922 0.7422 0.9844  4 Ce 2.29-2.42
O3 0.7578 0.0078 0.5156  4 Ce 2.29-2.42
O4 0.5078 0.2578 0.0156  4 Ce 2.29-2.42



No. 11
Computed, not measured: Ce2GeOs2 after structural relaxation at the PBE level of DFT.

Properties
- space group = C2/c (15)
- calculated volume (Å³ per atom) = 20.81
- density of states at the Fermi level (states/eV per atom) = 1.273
- density (Mg/m³) = 11.7
- final energy (eV per atom) = -8.184
- ΔE_f (meV/atom) = -395

abc: 5.6379 5.6379 8.1187
angles: 74.58 74.58 57.84
With the nearest neighbours (Å) after each atom.
Positions (direct):
Ce1 0.5078 0.1987 0.1464  4 Os 2.86-2.90, 1 Ge 3.17
Ce2 0.8013 0.4922 0.3536  4 Os 2.86-2.90, 1 Ge 3.17
Ce3 0.4922 0.8013 0.8536  4 Os 2.86-2.90, 1 Ge 3.17
Ce4 0.1987 0.5078 0.6464  4 Os 2.86-2.90, 1 Ge 3.17
Ge1 0.1215 0.8785 0.2500  4 Os 2.55-2.70
Ge2 0.8785 0.1215 0.7500  4 Os 2.55-2.70
Os1 0.7108 0.0207 0.5281  2 Ge 2.55-2.70, 1 Os 2.67
Os2 0.9793 0.2892 0.9719  2 Ge 2.55-2.70, 1 Os 2.67
Os3 0.2892 0.9793 0.4719  2 Ge 2.55-2.70, 1 Os 2.67
Os4 0.0207 0.7108 0.0281  2 Ge 2.55-2.70, 1 Os 2.67



What did the seventh record say?
Computed, not measured: CeDyEr2 after structural relaxation at the PBE level of DFT.

Properties
- distance to the lowest polymorph of the same formula (meV per atom) = 4
- space group = R3m (160)
- calculated volume (Å³ per atom) = 30.56
- density of states at the Fermi level (states/eV per atom) = 1.900
- density (Mg/m³) = 8.7
- final energy (eV per atom) = -4.859
- ΔE_f (meV/atom) = 56

abc: 3.5079 3.5079 11.6498
angles: 81.34 81.34 60.00
With the nearest neighbours (Å) after each atom.
Positions (direct):
Ce1 0.5006 0.5006 0.4982  6 Er 3.50-3.54, 6 Ce 3.51
Dy1 0.6662 0.6662 0.0013  6 Er 3.49-3.51, 6 Dy 3.51
Er1 0.0830 0.0830 0.7511  6 Er 3.51, 3 Dy 3.51, 3 Ce 3.54
Er2 0.2502 0.2502 0.2494  3 Dy 3.49, 3 Ce 3.50, 6 Er 3.51